(1)
## LiYMnAl (PBE)

Data for crystalline LiYMnAl at its relaxed geometry.

```
LiYMnAl
1.0
0.000 3.338 3.338
3.338 0.000 3.338
3.338 3.338 0.000
Li Y Mn Al
1 1 1 1
Cartesian
0.000 0.000 0.000
1.669 1.669 1.669
3.338 3.338 3.338
5.007 5.007 5.007
```

E_form: -41 meV per atom
V: 74.4 Å³/cell
Raw total energy: -5.3640 eV per atom

---

(2)
## LiYMnAl2 (PBE)

Data for crystalline LiYMnAl2 at its relaxed geometry.

```
LiYMnAl2
1.0
4.594 0.000 0.000
0.000 4.594 0.000
0.000 0.000 4.577
Li Y Mn Al
1 1 1 2
Cartesian
0.000 0.000 0.000
2.297 2.297 0.000
0.000 0.000 2.289
0.000 2.297 2.289
2.297 0.000 2.289
```

E_form: 63 meV per atom
V: 96.6 Å³/cell
Raw total energy: -4.9430 eV per atom

---

(3)
## LiMnAl2Zn (PBE)

Data for crystalline LiMnAl2Zn at its relaxed geometry.

```
LiMnAl2Zn
1.0
4.263 0.000 0.000
0.000 4.263 0.000
0.000 0.000 4.120
Li Mn Al Zn
1 1 2 1
Cartesian
0.000 0.000 0.000
2.132 2.132 2.060
0.000 2.132 0.000
2.132 0.000 0.000
0.000 0.000 2.060
```

E_form: 925 meV per atom
V: 74.9 Å³/cell
Raw total energy: -3.0435 eV per atom

---

(4)
## LiAlMo (PBE)

Data for crystalline LiAlMo at its relaxed geometry.

```
LiAlMo
1.0
0.000 3.060 3.060
3.060 0.000 3.060
3.060 3.060 0.000
Li Al Mo
1 1 1
Cartesian
0.000 0.000 0.000
3.060 3.060 3.060
4.590 4.590 4.590
```

Energy relative to the lowest polymorph listed for this composition: 86.6 kJ per mole of atoms
E_form: 955 meV per atom
V: 57.3 Å³/cell
Raw total energy: -4.5412 eV per atom

---

(5)
## LiAlMo2 (PBE)

Data for crystalline LiAlMo2 at its relaxed geometry.

```
LiAlMo2
1.0
4.532 -1.332 0.000
4.532 1.332 0.000
-0.376 0.000 5.035
Li Al Mo
1 1 2
Cartesian
0.000 0.000 0.000
6.711 0.000 1.159
1.966 0.000 3.688
4.245 0.000 2.521
```

E_form: 99 meV per atom
V: 60.8 Å³/cell
Raw total energy: -6.7311 eV per atom

---

(6)
## LiAl2Mo2 (PBE)

Data for crystalline LiAl2Mo2 at its relaxed geometry.

```
LiAl2Mo2
1.0
7.932 0.000 0.000
0.000 7.932 0.000
0.000 0.000 2.737
Li Al Mo
2 4 4
Cartesian
0.000 0.000 0.000
3.966 3.966 0.000
1.442 2.524 1.369
2.524 6.490 1.369
5.408 1.442 1.369
6.490 5.408 1.369
0.889 4.855 0.000
3.077 0.889 0.000
4.855 7.042 0.000
7.042 3.077 0.000
```

Energy relative to the lowest polymorph listed for this composition: 0.0 kJ per mole of atoms
E_form: 37 meV per atom
V: 172.2 Å³/cell
Raw total energy: -6.1754 eV per atom

---

(7)
## LiAlMo2 (PBE)

Data for crystalline LiAlMo2 at its relaxed geometry.

```
LiAlMo2
1.0
2.620 -4.369 0.000
2.620 4.369 0.000
-0.524 0.000 2.617
Li Al Mo
1 1 2
Cartesian
0.000 0.000 0.000
2.620 0.000 0.000
1.048 2.184 1.309
1.048 -2.184 1.309
```

E_form: 94 meV per atom
V: 59.9 Å³/cell
Raw total energy: -6.7360 eV per atom

---

(8)
## LiAlMo2 (PBE)

Data for crystalline LiAlMo2 at its relaxed geometry.

```
LiAlMo2
1.0
2.701 0.000 0.000
0.000 4.354 0.000
-0.650 0.000 5.132
Li Al Mo
1 1 2
Cartesian
0.000 0.000 0.000
-0.255 2.177 3.825
0.952 0.000 2.520
1.608 2.177 1.244
```

E_form: 39 meV per atom
V: 60.4 Å³/cell
Raw total energy: -6.7909 eV per atom

---

(9)
## LiAlMo2 (PBE)

Data for crystalline LiAlMo2 at its relaxed geometry.

```
LiAlMo2
1.0
1.589 -2.180 0.000
1.589 2.180 0.000
0.000 0.000 9.074
Li Al Mo
1 1 2
Cartesian
0.000 0.000 0.000
1.589 0.000 2.248
0.000 0.000 4.457
1.589 0.000 6.688
```

E_form: 67 meV per atom
V: 62.9 Å³/cell
Raw total energy: -6.7631 eV per atom

---

(10)
## LiAlMo2 (PBE)

Data for crystalline LiAlMo2 at its relaxed geometry.

```
LiAlMo2
1.0
3.320 0.000 0.000
0.000 3.320 0.000
0.000 0.000 5.316
Li Al Mo
1 1 2
Cartesian
0.000 0.000 0.000
0.000 0.000 2.658
1.660 1.660 1.167
1.660 1.660 4.150
```

E_form: 289 meV per atom
V: 58.6 Å³/cell
Raw total energy: -6.5403 eV per atom

---

(11)
## Li2Al2Mo (PBE)

Data for crystalline Li2Al2Mo at its relaxed geometry.

```
Li2Al2Mo
1.0
-1.728 1.728 6.516
1.728 -1.728 6.516
1.728 1.728 -6.516
Li Al Mo
2 2 1
Cartesian
1.728 0.000 3.258
0.000 1.728 3.258
0.000 0.000 1.233
0.000 0.000 11.799
0.000 0.000 6.516
```

Energy relative to the lowest polymorph listed for this composition: 2.0 kJ per mole of atoms
E_form: 124 meV per atom
V: 77.9 Å³/cell
Raw total energy: -4.3052 eV per atom

---

(12)
## LiAlMo2 (PBE)

Data for crystalline LiAlMo2 at its relaxed geometry.

```
LiAlMo2
1.0
3.715 0.000 0.000
0.000 3.715 0.000
0.000 0.000 4.308
Li Al Mo
1 1 2
Cartesian
0.000 0.000 0.000
1.858 1.858 0.000
0.000 1.858 2.154
1.858 0.000 2.154
```

E_form: 80 meV per atom
V: 59.5 Å³/cell
Raw total energy: -6.7495 eV per atom